A plane-wave DFT calculation with GGA-PBE was carried out for crystalline Tb6SnO12 at its relaxed geometry.

Output
N(E_F)	32.568	states/eV/cell
uncorrected formation energy	-3.033	eV/atom
E_tot	-7.837	eV per atom

Lattice parameters (Å, degrees): 9.9838 9.9838 9.3925 90.00 90.00 120.00
Space group R-3 (No. 148, hexagonal axes)
Unique sites:
Tb1 0.0522 0.2617 0.1531 x18
Sn1 0.0000 0.0000 0.5000 x3
O1 0.0393 0.2224 0.9005 x18
O2 0.0415 0.2019 0.3916 x18



A plane-wave DFT calculation with GGA-PBE was carried out for crystalline ScCoPS2 at its relaxed geometry.

Output
N(E_F)	6.588	states/eV/cell
uncorrected formation energy	0.456	eV/atom
E_tot	-4.964	eV per atom
E above lowest polymorph	0.707	eV per atom

Lattice parameters (Å, degrees): 4.840 4.840 4.955 90.00 90.00 90.00
Space group P4/mmm (No. 123)
Unique sites:
Sc1 0.000 0.000 0.000 x1
Co1 0.500 0.500 0.500 x1
P1 0.000 0.000 0.500 x1
S1 0.000 0.500 0.000 x2



A plane-wave DFT calculation with GGA-PBE was carried out for crystalline AcDyCd at its relaxed geometry.

Output
N(E_F)	6.364	states/eV/cell
E_tot	-3.368	eV per atom
E above lowest polymorph	0.006	eV per atom
calculated formation energy	-3.7	kcal/mol of atoms

Lattice parameters (Å, degrees): 5.040 5.040 8.055 90.00 90.00 90.00
Space group P4/nmm (No. 129, origin choice 2)
Unique sites:
Ac1 0.250 0.250 0.140 x2
Dy1 0.250 0.750 0.500 x2
Cd1 0.250 0.250 0.734 x2